A plane-wave DFT calculation with SCAN was carried out for a crystal of TaTl3Fe relaxed with PBEsol.

```
5
Lattice="5.3534 0.0000 0.0000 0.0000 5.3534 0.0000 0.0000 0.0000 5.3534" Properties=species:S:1:pos:R:3 pbc="T T T"
Tl 0.0000 2.6767 0.0000
Tl 0.0000 0.0000 2.6767
Tl 2.6767 0.0000 0.0000
Fe 2.6767 2.6767 2.6767
Ta 0.0000 0.0000 0.0000
```

## Properties
- Space group: No. 221
- Mass density: 9.2 Mg/m³
- Calculated total energy: -59.13 eV/atom
- Total magnetization: 3.1 μB per cell
- ΔE_f: 6.15 eV/f.u.

A plane-wave DFT calculation with SCAN was carried out for a crystal of ZnFe3 relaxed with PBEsol.

```
4
Lattice="-2.2927 0.7473 -0.3558 -0.1491 -1.9649 -3.1661 -1.6985 -3.9930 2.5581" Properties=species:S:1:pos:R:3 pbc="T T T"
Zn -1.2209 -0.6088 -1.7609
Fe -1.2647 -2.9732 1.9048
Fe -0.4338 -1.0198 0.6533
Fe -2.0702 -2.6053 -0.4819
```

## Properties
- Space group: No. 47
- Mass density: 8.4 Mg/m³
- Calculated total energy: -16.96 eV/atom
- Total magnetization: 7.7 μB per cell
- ΔE_f: 0.05 eV/f.u.

A plane-wave DFT calculation with SCAN was carried out for a crystal of Sc2RuCl relaxed with PBEsol.

```
4
Lattice="-0.0632 -0.5999 3.0923 -1.1177 -2.9641 -0.5978 6.9585 -2.5372 -0.3500" Properties=species:S:1:pos:R:3 pbc="T T T"
Sc 4.3987 -4.9721 -0.8746
Sc 1.4421 -0.5292 -0.0732
Ru -0.5904 -1.7820 1.2473
Cl 3.4477 -1.5685 1.3711
```

## Properties
- Space group: No. 10
- Mass density: 5.0 Mg/m³
- Raw formation energy: -446.4 kJ/mol of formula units
- Calculated total energy: -18.98 eV/atom
- Total magnetization: 0.0 μB per cell
- Relative energy among the computed polymorphs: 0 meV/atom

A plane-wave DFT calculation with SCAN was carried out for a crystal of NaY2CoIr relaxed with PBEsol.

```
5
Lattice="5.1381 0.0000 0.0000 0.0000 5.2013 0.0000 0.0000 0.0000 5.2013" Properties=species:S:1:pos:R:3 pbc="T T T"
Y 0.0000 0.0000 2.6006
Y 0.0000 2.6006 0.0000
Na 2.5690 0.0000 0.0000
Ir 0.0000 0.0000 0.0000
Co 2.5690 2.6006 2.6006
```

## Properties
- Space group: No. 123
- Mass density: 5.4 Mg/m³
- Calculated total energy: -29.42 eV/atom
- Total magnetization: 2.0 μB per cell
- ΔE_f: 1.22 eV/f.u.

A plane-wave DFT calculation with SCAN was carried out for a crystal of FeNi2Os relaxed with PBEsol.

```
4
Lattice="2.5585 0.0000 0.0000 0.0000 3.5187 0.0000 0.0000 0.0000 4.9905" Properties=species:S:1:pos:R:3 pbc="T T T"
Fe 1.2793 1.7594 3.7236
Ni 0.0000 0.0000 0.0246
Ni 1.2793 1.7594 1.1970
Os 0.0000 0.0000 2.5405
```

## Properties
- Space group: No. 25
- Mass density: 13.4 Mg/m³
- Calculated total energy: -30.36 eV/atom
- Total magnetization: 0.0 μB per cell
- Relative energy among the computed polymorphs: 84 meV/atom
- ΔE_f: 0.91 eV/f.u.

A plane-wave DFT calculation with SCAN was carried out for a crystal of BaAl2Si2 relaxed with PBEsol.

```
5
Lattice="-4.2007 1.6002 1.1335 -1.9591 -3.5413 -2.2610 3.1733 -1.7927 4.8108" Properties=species:S:1:pos:R:3 pbc="T T T"
Si -0.9329 -3.1523 0.9930
Si -2.0537 -0.5815 2.6903
Ba 0.0000 0.0000 0.0000
Al 0.0685 -2.0278 3.1167
Al -3.0551 -1.7060 0.5665
```

## Properties
- Space group: No. 139
- Mass density: 3.8 Mg/m³
- Raw formation energy: -104.1 kJ/mol of formula units
- Calculated total energy: -15.23 eV/atom
- Total magnetization: 0.0 μB per cell

A plane-wave DFT calculation with SCAN was carried out for a crystal of ErGe3 relaxed with PBEsol.

```
8
Lattice="-3.0896 -0.2837 -2.2870 0.1407 -3.9498 0.3000 -6.0206 -1.5708 8.3283" Properties=species:S:1:pos:R:3 pbc="T T T"
Er -1.6955 -1.9799 0.9121
Er -7.2740 -3.8244 5.4292
Ge -2.9270 -3.8685 2.8101
Ge -6.0425 -1.9359 3.5312
Ge -2.6697 -4.1299 -0.7530
Ge -6.2998 -1.6744 7.0943
Ge -4.5621 -2.0341 1.5434
Ge -4.4074 -3.7702 4.7978
```

## Properties
- Space group: No. 63
- Mass density: 8.2 Mg/m³
- Calculated total energy: -27.38 eV/atom
- Total magnetization: 0.0 μB per cell
- ΔE_f: -1.93 eV/f.u.

A plane-wave DFT calculation with SCAN was carried out for a crystal of AgPSe2 relaxed with PBEsol.

```
16
Lattice="4.6231 0.0000 0.0000 0.0000 6.9202 0.0000 0.0000 0.0000 12.2514" Properties=species:S:1:pos:R:3 pbc="T T T"
Ag 0.5195 6.4440 8.2689
Ag 2.8311 3.9363 3.9824
Ag 1.7921 0.4762 2.1433
Ag 4.1036 2.9839 10.1081
P 2.4640 5.5281 10.9784
P 0.1524 4.8522 1.2729
P 4.4707 1.3921 4.8528
P 2.1591 2.0680 7.3986
Se 1.5028 4.3011 9.3065
Se 3.8144 6.0791 2.9448
Se 0.8087 2.6190 3.1808
Se 3.1203 0.8410 9.0705
Se 0.6995 6.6123 12.1163
Se 3.0111 3.7679 0.1351
Se 1.6121 0.3078 5.9906
Se 3.9236 3.1523 6.2607
```

## Properties
- Space group: No. 19
- Mass density: 5.0 Mg/m³
- Raw formation energy: -8.2 kJ/mol of formula units
- Calculated total energy: -20.50 eV/atom
- Total magnetization: 0.0 μB per cell

A plane-wave DFT calculation with SCAN was carried out for a crystal of Sc4CdSb relaxed with PBEsol.

```
6
Lattice="5.7768 0.0000 0.0000 2.8884 5.0029 0.0000 2.8884 1.6676 4.7168" Properties=species:S:1:pos:R:3 pbc="T T T"
Cd 8.6653 5.0029 3.5376
Sb 0.0000 0.0000 0.0000
Sc 4.3307 2.5003 1.7680
Sc 5.7768 3.3353 4.1296
Sc 7.2230 2.5003 1.7680
Sc 5.7768 5.0052 1.7680
```

## Properties
- Space group: No. 216
- Mass density: 5.0 Mg/m³
- Raw formation energy: 40.4 kJ/mol of formula units
- Calculated total energy: -20.70 eV/atom
- Total magnetization: 0.7 μB per cell

A plane-wave DFT calculation with SCAN was carried out for a crystal of Zr2Ir relaxed with PBEsol.

```
24
Lattice="-6.9826 1.0576 -5.1451 -6.8441 -5.3780 0.7636 -7.5074 2.9347 3.3725" Properties=species:S:1:pos:R:3 pbc="T T T"
Ir -15.4150 0.9114 -1.1506
Ir -15.1578 -2.3112 -2.1620
Ir -18.0683 -1.1735 -0.8546
Ir -15.3613 -1.5835 1.1400
Ir -11.2527 -2.6434 -0.1107
Ir -11.5098 0.5792 0.9007
Ir -8.5994 -0.5585 -0.4067
Ir -11.3064 -0.1485 -2.4014
Zr -9.8425 -1.3948 1.9419
Zr -13.3338 -0.8660 -0.6307
Zr -9.5801 -2.3334 -2.3169
Zr -9.9118 1.8230 -1.0124
Zr -6.7165 -1.0034 1.4896
Zr -3.8986 -2.1050 0.2237
Zr -6.5195 -1.7080 -1.7075
Zr -4.1475 1.0152 1.2030
Zr -6.7685 1.4122 -0.7282
Zr -3.9505 0.3106 -1.9941
Zr -12.9685 -1.7862 2.3941
Zr -8.2791 -3.6193 0.2876
Zr -12.6407 -2.9587 -2.9263
Zr -8.6934 1.5731 1.9172
Zr -13.0550 2.2337 -1.2966
Zr -8.3656 0.4006 -3.4032
```

## Properties
- Space group: No. 227
- Mass density: 10.6 Mg/m³
- Calculated total energy: -44.97 eV/atom
- Total magnetization: 0.0 μB per cell
- ΔE_f: -2.42 eV/f.u.

A plane-wave DFT calculation with SCAN was carried out for a crystal of Zr2AgAu relaxed with PBEsol.

```
4
Lattice="3.0170 0.0000 0.0000 0.0000 5.1262 0.0070 0.0000 -1.6444 4.8553" Properties=species:S:1:pos:R:3 pbc="T T T"
Au 1.5085 1.7409 2.4312
Zr 0.0000 2.5631 0.0035
Zr 0.0000 -0.8222 2.4277
Ag 1.5085 0.0000 0.0000
```

## Properties
- Space group: No. 65
- Mass density: 10.8 Mg/m³
- Calculated total energy: -40.86 eV/atom
- Total magnetization: 0.0 μB per cell
- ΔE_f: -1.50 eV/f.u.

A plane-wave DFT calculation with SCAN was carried out for a crystal of NaCdSn relaxed with PBEsol.

```
6
Lattice="4.9146 0.0000 0.0000 2.4573 5.5820 0.0040 2.4573 0.9239 5.5050" Properties=species:S:1:pos:R:3 pbc="T T T"
Na 4.9146 3.7562 3.1807
Na 2.4573 0.9363 0.7929
Sn 7.3719 6.0278 3.1394
Sn 7.3719 4.0898 5.4280
Cd 2.4573 4.2250 0.9223
Cd 2.4573 1.6060 4.0153
```

## Properties
- Space group: No. 44
- Mass density: 5.6 Mg/m³
- Calculated total energy: -23.77 eV/atom
- Total magnetization: 0.0 μB per cell
- ΔE_f: -0.75 eV/f.u.

A plane-wave DFT calculation with SCAN was carried out for a crystal of Si3Os2 relaxed with PBEsol.

```
40
Lattice="-3.7809 -0.0039 4.0977 -5.4210 -5.0778 -5.0067 4.6417 -9.1699 4.2743" Properties=species:S:1:pos:R:3 pbc="T T T"
Os -2.7614 -3.2017 3.2452
Os -1.5152 -3.9261 0.6013
Os -0.2923 -7.8700 5.3061
Os 0.8696 -8.4276 2.5846
Os -1.7987 -11.0498 0.1201
Os -3.0450 -10.3255 2.7639
Os -4.2679 -6.3816 -1.9409
Os -5.4297 -5.8240 0.7807
Os -3.0435 -0.1976 2.8812
Os -1.1270 -6.9301 0.8502
Os -6.1583 -4.8840 -3.7903
Os -3.4332 -7.3215 2.5150
Os -5.9576 -2.9271 0.1899
Os -3.6339 -9.2783 -1.4652
Os -3.2443 -2.1545 -1.0990
Os -0.9262 -4.9732 4.8304
Si -1.7198 -5.4060 2.6287
Si -0.9864 -1.7203 -0.4842
Si -2.5003 -6.7583 4.8453
Si 1.5073 -9.5408 4.7474
Si -2.8403 -8.8456 0.7366
Si -3.5738 -12.5313 3.8494
Si -2.0598 -7.4932 -1.4801
Si -6.0674 -4.7108 -1.3821
Si -4.3332 -5.1416 2.9081
Si -1.0548 -1.9873 2.1428
Si -1.4309 -8.4688 3.1400
Si 3.1196 -7.8276 3.5462
Si -0.2270 -9.1099 0.4571
Si -3.5053 -12.2642 1.2224
Si -3.1293 -5.7828 0.2252
Si -7.6797 -6.4239 -0.1809
Si -3.8131 -3.1837 1.0743
Si 0.7331 -3.9429 1.4752
Si -1.4672 -9.9736 5.4206
Si 0.8479 -6.3251 3.7670
Si -0.7470 -11.0679 2.2909
Si -5.2933 -10.3086 1.8900
Si -3.0930 -4.2779 -2.0554
Si -5.4080 -7.9264 -0.4018
```

## Properties
- Space group: No. 60
- Mass density: 11.1 Mg/m³
- Raw formation energy: -237.3 kJ/mol of formula units
- Calculated total energy: -35.25 eV/atom
- Total magnetization: 0.0 μB per cell

A plane-wave DFT calculation with SCAN was carried out for a crystal of ScAsW2 relaxed with PBEsol.

```
4
Lattice="3.7901 0.0000 0.0000 0.0000 3.7901 0.0000 0.0000 0.0000 4.5443" Properties=species:S:1:pos:R:3 pbc="T T T"
As 1.8950 1.8950 2.2722
Sc 0.0000 0.0000 2.2722
W 0.0000 1.8950 0.0000
W 1.8950 0.0000 0.0000
```

## Properties
- Space group: No. 123
- Mass density: 12.4 Mg/m³
- Calculated total energy: -43.35 eV/atom
- Total magnetization: 0.0 μB per cell
- ΔE_f: 0.40 eV/f.u.

A plane-wave DFT calculation with SCAN was carried out for a crystal of Hg2WCN relaxed with PBEsol.

```
5
Lattice="-3.3637 -1.9115 -0.6063 1.7648 -4.0563 2.9972 -2.0910 2.3011 4.3455" Properties=species:S:1:pos:R:3 pbc="T T T"
C -1.6818 -0.9557 -0.3032
Hg -1.0455 1.1506 2.1728
Hg 0.8824 -2.0281 1.4986
W 0.0000 0.0000 0.0000
N -1.8449 -1.8333 3.3682
```

## Properties
- Space group: No. 123
- Mass density: 9.1 Mg/m³
- Raw formation energy: 922.4 kJ/mol of formula units
- Calculated total energy: -43.17 eV/atom
- Total magnetization: 2.0 μB per cell

A plane-wave DFT calculation with SCAN was carried out for a crystal of CaVCuHO5 relaxed with PBEsol.

```
36
Lattice="5.7462 0.0000 0.0000 0.0000 7.3203 0.0000 0.0000 0.0000 9.3449" Properties=species:S:1:pos:R:3 pbc="T T T"
Ca 2.7302 0.9343 2.9929
Ca 0.1428 6.3860 7.6654
Ca 3.0159 4.5945 1.6795
Ca 5.6033 2.7258 6.3519
V 0.0857 2.7856 3.1594
V 2.7874 4.5347 7.8318
V 5.6605 6.4457 1.5130
V 2.9587 0.8745 6.1855
Cu 1.4223 1.8668 0.0092
Cu 1.4508 5.4534 4.6816
Cu 4.3239 5.5270 4.6633
Cu 4.2954 1.7933 9.3357
H 5.6148 3.7783 9.1824
H 3.0045 3.5420 4.5099
H 0.1314 0.1182 4.8349
H 2.7417 7.2021 0.1625
O 0.4552 1.4626 4.1676
O 2.4179 5.8577 8.8400
O 5.2909 5.1227 0.5049
O 3.3283 2.1976 5.1773
O 1.4201 2.8873 2.1066
O 1.4530 4.4330 6.7791
O 4.3261 6.5474 2.5658
O 4.2932 0.7729 7.2383
O 0.0224 0.4844 0.3845
O 2.8506 6.8359 5.0569
O 5.7237 4.1445 4.2879
O 2.8955 3.1758 8.9604
O 2.8380 0.7769 0.6430
O 0.0351 6.5434 5.3154
O 2.9082 4.4370 4.0294
O 5.7110 2.8832 8.7019
O 1.4939 1.0569 7.0416
O 1.3791 6.2634 2.3692
O 4.2522 4.7170 6.9757
O 4.3670 2.6032 2.3032
```

## Properties
- Space group: No. 19
- Mass density: 4.0 Mg/m³
- Calculated total energy: -10.78 eV/atom
- Total magnetization: 4.0 μB per cell

A plane-wave DFT calculation with SCAN was carried out for a crystal of KAl2CuBi relaxed with PBEsol.

```
5
Lattice="4.7240 0.0000 0.0000 0.0000 4.7240 0.0000 0.0000 0.0000 5.3697" Properties=species:S:1:pos:R:3 pbc="T T T"
K 0.0000 0.0000 2.6848
Bi 2.3620 2.3620 2.6848
Cu 0.0000 0.0000 0.0000
Al 0.0000 2.3620 0.0000
Al 2.3620 0.0000 0.0000
```

## Properties
- Space group: No. 123
- Mass density: 5.1 Mg/m³
- Calculated total energy: -23.28 eV/atom
- Total magnetization: 0.0 μB per cell
- ΔE_f: 1.21 eV/f.u.

A plane-wave DFT calculation with SCAN was carried out for a crystal of Cd2TcSe relaxed with PBEsol.

```
4
Lattice="-0.1101 -1.2047 2.6341 -1.3909 -1.3509 -2.1547 8.6601 -5.4898 -2.1487" Properties=species:S:1:pos:R:3 pbc="T T T"
Cd 0.2725 -0.1728 -0.0676
Cd 5.8697 -5.4745 -1.4028
Se 3.8330 -2.4298 -0.9510
Tc 1.5139 -2.7133 -0.3221
```

## Properties
- Space group: No. 35
- Mass density: 8.6 Mg/m³
- Raw formation energy: 104.1 kJ/mol of formula units
- Calculated total energy: -28.72 eV/atom
- Total magnetization: 0.0 μB per cell

A plane-wave DFT calculation with SCAN was carried out for a crystal of Li2CaRh relaxed with PBEsol.

```
4
Lattice="4.6624 0.0000 0.0000 -2.3312 4.0313 0.0898 0.0000 2.6102 3.8633" Properties=species:S:1:pos:R:3 pbc="T T T"
Ca 2.3312 3.9733 2.9424
Rh 2.3312 1.3051 1.9317
Li 0.0000 0.0000 0.0000
Li 0.0000 2.6682 1.0107
```

## Properties
- Space group: No. 119
- Mass density: 3.6 Mg/m³
- Calculated total energy: -12.17 eV/atom
- Total magnetization: 0.0 μB per cell
- Relative energy among the computed polymorphs: 51 meV/atom
- ΔE_f: -0.46 eV/f.u.

A plane-wave DFT calculation with SCAN was carried out for a crystal of CdRe2Pt relaxed with PBEsol.

```
4
Lattice="-2.4854 -1.1868 -0.2571 -1.3916 -0.7977 2.2537 -5.3603 7.7561 1.1330" Properties=species:S:1:pos:R:3 pbc="T T T"
Re -2.2551 1.3307 0.7762
Re -6.9822 4.4409 2.3534
Pt 0.0000 0.0000 0.0000
Cd -4.6187 2.8858 1.5648
```

## Properties
- Space group: No. 166
- Mass density: 18.2 Mg/m³
- Calculated total energy: -60.40 eV/atom
- Total magnetization: 0.0 μB per cell
- ΔE_f: 1.19 eV/f.u.

A plane-wave DFT calculation with SCAN was carried out for a crystal of TeSe relaxed with PBEsol.

```
4
Lattice="4.0784 0.0000 0.0000 0.0000 4.0784 0.0000 -2.0392 -2.0392 6.4090" Properties=species:S:1:pos:R:3 pbc="T T T"
Te 0.0000 0.0000 4.8890
Te 2.0392 2.0392 1.5200
Se 0.0000 0.0000 1.6800
Se 2.0392 2.0392 4.7290
```

## Properties
- Space group: No. 139
- Mass density: 6.4 Mg/m³
- Raw formation energy: 7.1 kJ/mol of formula units
- Calculated total energy: -28.63 eV/atom
- Total magnetization: 0.0 μB per cell

A plane-wave DFT calculation with SCAN was carried out for a crystal of CdCuPt2 relaxed with PBEsol.

```
4
Lattice="-0.2633 1.5537 -3.6350 -0.7399 -3.5980 -1.4843 -3.2520 1.5830 3.0713" Properties=species:S:1:pos:R:3 pbc="T T T"
Pt -2.0084 1.0573 -1.5617
Pt -2.2467 -1.5186 -0.4863
Cu 0.0000 0.0000 0.0000
Cd -0.5016 -1.0222 -2.5596
```

## Properties
- Space group: No. 139
- Mass density: 15.6 Mg/m³
- Calculated total energy: -46.73 eV/atom
- Total magnetization: 0.0 μB per cell
- ΔE_f: -0.90 eV/f.u.

A plane-wave DFT calculation with SCAN was carried out for a crystal of BeCr2Br relaxed with PBEsol.

```
4
Lattice="-1.2462 -2.6706 -0.2049 0.1647 -1.8849 2.2688 -6.4487 1.1203 3.3221" Properties=species:S:1:pos:R:3 pbc="T T T"
Cr -6.2735 1.0444 3.2463
Cr -5.7360 -2.5381 4.0777
Br -1.9078 -0.8479 1.3574
Be -3.8268 -1.6909 2.7197
```

## Properties
- Space group: No. 160
- Mass density: 5.9 Mg/m³
- Raw formation energy: 241.9 kJ/mol of formula units
- Calculated total energy: -14.52 eV/atom
- Total magnetization: 0.0 μB per cell
- Relative energy among the computed polymorphs: 54 meV/atom